[1]
Below is Li2PrDyCd4 after structural relaxation, with properties calculated at the PBE level.

Results
As for the formation energy: -0.2666 eV/atom. As for the total magnetic moment: 0.00 μB/cell. The calculation puts the density at 6696 kg/m³. The final energy is -2.375 eV per atom. Its space group is R-3m.

Lattice parameters (Å, degrees): 8.912 8.912 8.912 33.32 33.32 33.32
Element x y z (fractional)
Li1 0.248 0.248 0.248
Li2 0.752 0.752 0.752
Pr1 0.000 0.000 0.000
Dy1 0.500 0.500 0.500
Cd1 0.127 0.127 0.127
Cd2 0.378 0.378 0.378
Cd3 0.622 0.622 0.622
Cd4 0.873 0.873 0.873

---

[2]
Below is TbPmNi2 after structural relaxation, with properties calculated at the PBE level.

Results
As for the formation energy: -0.3076 eV/atom. As for the total magnetic moment: 0.00 μB/cell. The calculation puts the density at 8659 kg/m³. The final energy is -5.543 eV per atom. Its space group is Fm-3m.

Lattice parameters (Å, degrees): 4.852 4.852 4.852 60.00 60.00 60.00
Element x y z (fractional)
Tb1 0.000 0.000 0.000
Pm1 0.500 0.500 0.500
Ni1 0.250 0.250 0.250
Ni2 0.750 0.750 0.750

---

[3]
Below is LiTbNdMg after structural relaxation, with properties calculated at the PBE level.

Results
As for the formation energy: 0.0262 eV/atom. As for the total magnetic moment: 0.00 μB/cell. The calculation puts the density at 4983 kg/m³. The final energy is -3.200 eV per atom. Its space group is F-43m.

Lattice parameters (Å, degrees): 5.402 5.402 5.402 60.00 60.00 60.00
Element x y z (fractional)
Li1 0.000 0.000 0.000
Tb1 0.750 0.750 0.750
Nd1 0.250 0.250 0.250
Mg1 0.500 0.500 0.500

---

[4]
Below is CaYAl after structural relaxation, with properties calculated at the PBE level.

Results
As for the formation energy: -0.1499 eV/atom. As for the total magnetic moment: 0.85 μB/cell. The calculation puts the density at 2962 kg/m³. The final energy is -4.219 eV per atom. Its space group is Cm.

Lattice parameters (Å, degrees): 6.632 6.632 8.895 122.78 122.78 32.78
Element x y z (fractional)
Ca1 0.000 0.000 0.000
Ca2 0.559 0.559 0.695
Y1 0.320 0.320 0.125
Y2 0.749 0.749 0.409
Al1 0.039 0.039 0.390
Al2 0.273 0.273 0.716

---

[5]
Below is AlIr2Cl after structural relaxation, with properties calculated at the PBE level.

Results
As for the total magnetic moment: 0.00 μB/cell. The calculation puts the density at 11888 kg/m³. The final energy is -5.796 eV per atom. Its space group is C2/m.

Lattice parameters (Å, degrees): 5.022 5.022 4.643 101.12 101.12 32.97
Element x y z (fractional)
Al1 0.000 0.000 0.000
Ir1 0.287 0.287 0.783
Ir2 0.713 0.713 0.217
Cl1 0.500 0.500 0.500

---

[6]
Below is HoSnAu4 after structural relaxation, with properties calculated at the PBE level.

Results
As for the formation energy: -0.3774 eV/atom. As for the total magnetic moment: 0.00 μB/cell. The calculation puts the density at 14099 kg/m³. The final energy is -3.992 eV per atom. Its space group is F-43m.

Lattice parameters (Å, degrees): 5.630 5.630 5.630 60.00 60.00 60.00
Element x y z (fractional)
Ho1 0.000 0.000 0.000
Sn1 0.250 0.250 0.250
Au1 0.125 0.625 0.625
Au2 0.625 0.125 0.625
Au3 0.625 0.625 0.125
Au4 0.625 0.625 0.625